No. 1
The following is a PBE calculation of CaIBr after structural relaxation, from the Alexandria database.

The space group is F-43m (No. 216) and the conventional cell measures 7.509, 7.509 and 7.509 Å, with angles of 90.00, 90.00 and 90.00 degrees. The inequivalent atoms are Ca at (0.000, 0.000, 0.000), I at (0.250, 0.250, 0.250) and Br at (0.250, 0.250, 0.750).

For the calculated volume, the calculation gives 423 Å³ per cell. Its formation energy (no corrections) is -161.9 kJ per mole of atoms. The value obtained for the size of the total moment is 0.0 μB per cell. The value obtained for the energy above the most stable polymorph in this dataset is 155 meV/atom.

***

No. 2
The following is a PBE calculation of KCaI2Br after structural relaxation, from the Alexandria database.

The space group is P4/mmm (No. 123) and the conventional cell measures 6.211, 6.211 and 5.645 Å, with angles of 90.00, 90.00 and 90.00 degrees. The inequivalent atoms are K at (0.000, 0.000, 0.000), Ca at (0.500, 0.500, 0.500), I at (0.000, 0.500, 0.500) and Br at (0.500, 0.500, 0.000).

For the calculated volume, the calculation gives 218 Å³ per cell. Its formation energy (no corrections) is -156.3 kJ per mole of atoms. The value obtained for the size of the total moment is 0.0 μB per cell. The value obtained for the energy above the most stable polymorph in this dataset is 50 meV/atom.

***

No. 3
The following is a PBE calculation of KCaI2Br after structural relaxation, from the Alexandria database.

The space group is P2_1/m (No. 11) and the conventional cell measures 8.948, 4.693 and 10.666 Å, with angles of 90.00, 102.44 and 90.00 degrees. The inequivalent atoms are K at (0.193, 0.250, 0.417), Ca at (0.348, 0.250, 0.835), I at (0.299, 0.750, 0.022), I at (0.431, 0.750, 0.655) and Br at (0.047, 0.250, 0.686).

For the calculated volume, the calculation gives 437 Å³ per cell. Its formation energy (no corrections) is -161.1 kJ per mole of atoms. The value obtained for the size of the total moment is 0.0 μB per cell. The value obtained for the energy above the most stable polymorph in this dataset is 0 meV/atom.

***

No. 4
The following is a PBE calculation of K2CaI2Br2 after structural relaxation, from the Alexandria database.

The space group is P-1 (No. 2) and the conventional cell measures 4.410, 7.594 and 9.204 Å, with angles of 114.05, 103.85 and 90.11 degrees. The inequivalent atoms are K at (0.145, 0.147, 0.292), Ca at (0.000, 0.500, 0.000), I at (0.190, 0.691, 0.380) and Br at (0.500, 0.240, 0.003).

For the calculated volume, the calculation gives 272 Å³ per cell. Its formation energy (no corrections) is -161.0 kJ per mole of atoms. The value obtained for the size of the total moment is 0.0 μB per cell.

***

No. 5
The following is a PBE calculation of Ca2LaIBr after structural relaxation, from the Alexandria database.

The space group is P4/mmm (No. 123) and the conventional cell measures 6.884, 6.884 and 6.063 Å, with angles of 90.00, 90.00 and 90.00 degrees. The inequivalent atoms are Ca at (0.000, 0.500, 0.000), La at (0.000, 0.000, 0.000), I at (0.000, 0.000, 0.500) and Br at (0.500, 0.500, 0.500).

For the calculated volume, the calculation gives 287 Å³ per cell. Its formation energy (no corrections) is -4.8 kJ per mole of atoms. The value obtained for the size of the total moment is 1.3 μB per cell.

***

No. 6
The following is a PBE calculation of LiCaIBr2 after structural relaxation, from the Alexandria database.

The space group is P2_1/m (No. 11) and the conventional cell measures 8.251, 4.547 and 10.060 Å, with angles of 90.00, 100.45 and 90.00 degrees. The inequivalent atoms are Li at (0.038, 0.250, 0.108), Ca at (0.237, 0.750, 0.438), I at (0.405, 0.250, 0.640), Br at (0.007, 0.250, 0.354) and Br at (0.178, 0.750, 0.108).

For the calculated volume, the calculation gives 371 Å³ per cell. Its formation energy (no corrections) is -160.4 kJ per mole of atoms. The value obtained for the size of the total moment is 0.0 μB per cell.

***

No. 7
The following is a PBE calculation of Ca3MgI2Br6 after structural relaxation, from the Alexandria database.

The space group is C2/m (No. 12) and the conventional cell measures 14.574, 8.381 and 6.815 Å, with angles of 90.00, 94.11 and 90.00 degrees. The inequivalent atoms are Ca at (0.000, 0.000, 0.000), Ca at (0.250, 0.250, 0.500), Mg at (0.000, 0.500, 0.500), I at (0.184, 0.000, 0.795), Br at (0.072, 0.259, 0.270) and Br at (0.160, 0.500, 0.711).

For the calculated volume, the calculation gives 830 Å³ per cell. Its formation energy (no corrections) is -168.4 kJ per mole of atoms. The value obtained for the size of the total moment is 0.0 μB per cell.

***

No. 8
The following is a PBE calculation of CaI2BrN after structural relaxation, from the Alexandria database.

The space group is P4/mmm (No. 123) and the conventional cell measures 6.439, 6.439 and 3.822 Å, with angles of 90.00, 90.00 and 90.00 degrees. The inequivalent atoms are Ca at (0.000, 0.000, 0.000), I at (0.000, 0.500, 0.500), Br at (0.500, 0.500, 0.500) and N at (0.500, 0.500, 0.000).

For the calculated volume, the calculation gives 158 Å³ per cell. Its formation energy (no corrections) is 45.5 kJ per mole of atoms. The value obtained for the size of the total moment is 0.0 μB per cell. The value obtained for the energy above the most stable polymorph in this dataset is 0 meV/atom.

***

No. 9
The following is a PBE calculation of CaIBr2N after structural relaxation, from the Alexandria database.

The space group is P4/mmm (No. 123) and the conventional cell measures 6.333, 6.333 and 3.994 Å, with angles of 90.00, 90.00 and 90.00 degrees. The inequivalent atoms are Ca at (0.000, 0.000, 0.000), I at (0.500, 0.500, 0.500), Br at (0.000, 0.500, 0.500) and N at (0.500, 0.500, 0.000).

For the calculated volume, the calculation gives 160 Å³ per cell. Its formation energy (no corrections) is 24.1 kJ per mole of atoms. The value obtained for the size of the total moment is 0.0 μB per cell.

***

No. 10
The following is a PBE calculation of CaI2BrN after structural relaxation, from the Alexandria database.

The space group is P4/mmm (No. 123) and the conventional cell measures 6.157, 6.157 and 4.487 Å, with angles of 90.00, 90.00 and 90.00 degrees. The inequivalent atoms are Ca at (0.000, 0.000, 0.000), I at (0.000, 0.500, 0.000), Br at (0.500, 0.500, 0.500) and N at (0.000, 0.000, 0.500).

For the calculated volume, the calculation gives 170 Å³ per cell. Its formation energy (no corrections) is 49.0 kJ per mole of atoms. The value obtained for the size of the total moment is 0.0 μB per cell. The value obtained for the energy above the most stable polymorph in this dataset is 36 meV/atom.

***

No. 11
The following is a PBE calculation of NaCaIBr2 after structural relaxation, from the Alexandria database.

The space group is P2_1/m (No. 11) and the conventional cell measures 8.238, 4.710 and 11.241 Å, with angles of 90.00, 104.73 and 90.00 degrees. The inequivalent atoms are Na at (0.065, 0.250, 0.388), Ca at (0.224, 0.250, 0.940), I at (0.414, 0.750, 0.121), Br at (0.013, 0.250, 0.129) and Br at (0.137, 0.250, 0.651).

For the calculated volume, the calculation gives 422 Å³ per cell. Its formation energy (no corrections) is -158.2 kJ per mole of atoms. The value obtained for the size of the total moment is 0.0 μB per cell. The value obtained for the energy above the most stable polymorph in this dataset is 0 meV/atom.

***

No. 12
The following is a PBE calculation of Na2CaI2Br2 after structural relaxation, from the Alexandria database.

The space group is P-1 (No. 2) and the conventional cell measures 4.394, 7.902 and 8.031 Å, with angles of 67.04, 74.35 and 89.69 degrees. The inequivalent atoms are Na at (0.209, 0.211, 0.063), Ca at (0.500, 0.500, 0.500), I at (0.391, 0.078, 0.726) and Br at (0.127, 0.488, 0.240).

For the calculated volume, the calculation gives 246 Å³ per cell. Its formation energy (no corrections) is -148.9 kJ per mole of atoms. The value obtained for the size of the total moment is 0.0 μB per cell.

***

No. 13
The following is a PBE calculation of NaCaIBr2 after structural relaxation, from the Alexandria database.

The space group is P4/mmm (No. 123) and the conventional cell measures 5.630, 5.630 and 6.266 Å, with angles of 90.00, 90.00 and 90.00 degrees. The inequivalent atoms are Na at (0.000, 0.000, 0.000), Ca at (0.500, 0.500, 0.500), I at (0.500, 0.500, 0.000) and Br at (0.000, 0.500, 0.500).

For the calculated volume, the calculation gives 199 Å³ per cell. Its formation energy (no corrections) is -149.4 kJ per mole of atoms. The value obtained for the size of the total moment is 0.0 μB per cell. The value obtained for the energy above the most stable polymorph in this dataset is 90 meV/atom.

***

No. 14
The following is a PBE calculation of CaIBrO2 after structural relaxation, from the Alexandria database.

The space group is P4/mmm (No. 123) and the conventional cell measures 4.455, 4.455 and 7.375 Å, with angles of 90.00, 90.00 and 90.00 degrees. The inequivalent atoms are Ca at (0.000, 0.000, 0.000), I at (0.000, 0.000, 0.500), Br at (0.500, 0.500, 0.500) and O at (0.000, 0.500, 0.000).

For the calculated volume, the calculation gives 146 Å³ per cell. Its formation energy (no corrections) is -43.7 kJ per mole of atoms. The value obtained for the size of the total moment is 2.1 μB per cell. The value obtained for the energy above the most stable polymorph in this dataset is 0 meV/atom.

***

No. 15
The following is a PBE calculation of CaIBrO2 after structural relaxation, from the Alexandria database.

The space group is P4/mmm (No. 123) and the conventional cell measures 4.208, 4.208 and 6.464 Å, with angles of 90.00, 90.00 and 90.00 degrees. The inequivalent atoms are Ca at (0.000, 0.000, 0.000), I at (0.500, 0.500, 0.000), Br at (0.500, 0.500, 0.500) and O at (0.000, 0.500, 0.500).

For the calculated volume, the calculation gives 114 Å³ per cell. Its formation energy (no corrections) is -14.9 kJ per mole of atoms. The value obtained for the size of the total moment is 0.0 μB per cell. The value obtained for the energy above the most stable polymorph in this dataset is 298 meV/atom.

***

No. 16
The following is a PBE calculation of CaI2BrO after structural relaxation, from the Alexandria database.

The space group is P4/mmm (No. 123) and the conventional cell measures 6.094, 6.094 and 4.107 Å, with angles of 90.00, 90.00 and 90.00 degrees. The inequivalent atoms are Ca at (0.000, 0.000, 0.000), I at (0.000, 0.500, 0.500), Br at (0.500, 0.500, 0.500) and O at (0.500, 0.500, 0.000).

For the calculated volume, the calculation gives 153 Å³ per cell. Its formation energy (no corrections) is -18.7 kJ per mole of atoms. The value obtained for the size of the total moment is 0.0 μB per cell. The value obtained for the energy above the most stable polymorph in this dataset is 295 meV/atom.

***

No. 17
The following is a PBE calculation of CaI2BrO after structural relaxation, from the Alexandria database.

The space group is P4/mmm (No. 123) and the conventional cell measures 6.306, 6.306 and 4.378 Å, with angles of 90.00, 90.00 and 90.00 degrees. The inequivalent atoms are Ca at (0.000, 0.000, 0.000), I at (0.000, 0.500, 0.000), Br at (0.500, 0.500, 0.500) and O at (0.000, 0.000, 0.500).

For the calculated volume, the calculation gives 174 Å³ per cell. Its formation energy (no corrections) is -47.2 kJ per mole of atoms. The value obtained for the size of the total moment is 3.0 μB per cell. The value obtained for the energy above the most stable polymorph in this dataset is 0 meV/atom.

***

No. 18
The following is a PBE calculation of CaI2BrO after structural relaxation, from the Alexandria database.

The space group is P4/mmm (No. 123) and the conventional cell measures 6.564, 6.564 and 5.331 Å, with angles of 90.00, 90.00 and 90.00 degrees. The inequivalent atoms are Ca at (0.000, 0.000, 0.000), I at (0.000, 0.500, 0.500), Br at (0.000, 0.000, 0.500) and O at (0.500, 0.500, 0.000).

For the calculated volume, the calculation gives 230 Å³ per cell. Its formation energy (no corrections) is 10.6 kJ per mole of atoms. The value obtained for the size of the total moment is 1.6 μB per cell. The value obtained for the energy above the most stable polymorph in this dataset is 599 meV/atom.

***

No. 19
The following is a PBE calculation of CaPb3I6Br2 after structural relaxation, from the Alexandria database.

The space group is C2/m (No. 12) and the conventional cell measures 15.807, 9.142 and 7.146 Å, with angles of 90.00, 94.08 and 90.00 degrees. The inequivalent atoms are Ca at (0.000, 0.000, 0.000), Pb at (0.000, 0.500, 0.500), Pb at (0.250, 0.250, 0.000), I at (0.089, 0.244, 0.259), I at (0.153, 0.000, 0.747) and Br at (0.165, 0.500, 0.761).

For the calculated volume, the calculation gives 1030 Å³ per cell. Its formation energy (no corrections) is -89.5 kJ per mole of atoms. The value obtained for the size of the total moment is 0.0 μB per cell.

***

No. 20
The following is a PBE calculation of CaPb3I2Br6 after structural relaxation, from the Alexandria database.

The space group is C2/m (No. 12) and the conventional cell measures 15.560, 8.761 and 6.949 Å, with angles of 90.00, 93.68 and 90.00 degrees. The inequivalent atoms are Ca at (0.000, 0.000, 0.000), Pb at (0.000, 0.500, 0.500), Pb at (0.250, 0.250, 0.000), I at (0.180, 0.500, 0.293), Br at (0.076, 0.242, 0.764) and Br at (0.164, 0.000, 0.225).

For the calculated volume, the calculation gives 945 Å³ per cell. Its formation energy (no corrections) is -106.6 kJ per mole of atoms. The value obtained for the size of the total moment is 0.0 μB per cell.